Compound: TiPt3F
Source: Alexandria via LeMat-Bulk
Functional: GGA-PBE
Structure: optimized geometry

abc: 4.344 4.344 4.344
angles: 90.00 90.00 90.00
Atoms (fractional coordinates):
1 Pt 0.500 0.000 0.000
2 Pt 0.000 0.500 0.000
3 Pt 0.000 0.000 0.500
4 Ti 0.500 0.500 0.500
5 F 0.000 0.000 0.000

Results
* total energy: -0.38291 Ry/atom
* relative energy among the computed polymorphs: 0.0 meV per atom
* symmetry: Pm-3m
* formation energy without anion corrections: 0.37 eV/atom


Compound: TiPtF
Source: Alexandria via LeMat-Bulk
Functional: GGA-PBE
Structure: optimized geometry

abc: 4.225 4.253 5.906
angles: 96.10 96.12 104.06
Atoms (fractional coordinates):
1 Ti 0.300 0.800 0.262
2 Ti 0.700 0.200 0.738
3 F 0.500 0.000 0.000
4 F 0.000 0.500 0.000
5 Pt 0.791 0.709 0.501
6 Pt 0.209 0.291 0.499

Results
* total energy: -0.51810 Ry/atom
* relative energy among the computed polymorphs: 22.9 meV per atom
* symmetry: P-1
* formation energy without anion corrections: -1.78 eV/atom


Compound: TiPtF
Source: Alexandria via LeMat-Bulk
Functional: GGA-PBE
Structure: optimized geometry

abc: 6.664 2.817 4.882
angles: 90.00 90.38 90.00
Atoms (fractional coordinates):
1 Pt 0.883 0.500 0.575
2 Pt 0.883 0.000 0.075
3 F 0.363 0.000 0.069
4 F 0.363 0.500 0.569
5 Ti 0.566 0.000 0.404
6 Ti 0.566 0.500 0.904

Results
* total energy: -0.50590 Ry/atom
* relative energy among the computed polymorphs: 188.8 meV per atom
* symmetry: Cm
* formation energy without anion corrections: -1.61 eV/atom


Compound: TiPtF
Source: Alexandria via LeMat-Bulk
Functional: GGA-PBE
Structure: optimized geometry

abc: 3.291 3.291 14.551
angles: 90.00 90.00 90.00
Atoms (fractional coordinates):
1 Ti 0.500 0.500 0.396
2 Ti 0.000 0.000 0.896
3 Ti 0.000 0.000 0.104
4 Ti 0.500 0.500 0.604
5 F 0.000 0.500 0.000
6 F 0.000 0.500 0.500
7 F 0.500 0.000 0.000
8 F 0.500 0.000 0.500
9 Pt 0.500 0.500 0.807
10 Pt 0.500 0.500 0.193
11 Pt 0.000 0.000 0.307
12 Pt 0.000 0.000 0.693

Results
* total energy: -0.51358 Ry/atom
* relative energy among the computed polymorphs: 84.4 meV per atom
* symmetry: I4/mmm
* formation energy without anion corrections: -1.72 eV/atom